Entry from Alexandria via LeMat-Bulk: TlSiHg3 after structural relaxation (PBE).

Computed properties:
- total energy (eV/atom) = -1.54
- E_form (uncorrected) (eV/atom) = 0.20
- ΔE to the lowest computed polymorph (eV/atom) = 0.000

```
TlSiHg3
1.0
5.2535 0.0000 0.0000
0.0000 5.2535 0.0000
0.0000 0.0000 5.2535
Tl Si Hg
1 1 3
Direct
0.0000 0.0000 0.0000 Tl
0.5000 0.5000 0.5000 Si
0.0000 0.5000 0.5000 Hg
0.5000 0.0000 0.5000 Hg
0.5000 0.5000 0.0000 Hg
```